## i
BeCd2I (GGA-PBE, optimized geometry); space-group type = I-42d; crystal system = tetragonal
1.0
-3.519 3.519 4.936
3.519 -3.519 4.936
3.519 3.519 -4.936
Be Cd I
2 4 2
direct
0.000 0.000 0.000 Be
0.750 0.250 0.500 Be
0.046 0.625 0.921 Cd
0.375 0.296 0.421 Cd
0.704 0.125 0.079 Cd
0.875 0.954 0.579 Cd
0.250 0.750 0.500 I
0.500 0.500 0.000 I


## ii
BeCd2I (GGA-PBE, optimized geometry); space-group type = Fm-3m; crystal system = cubic
1.0
0.000 3.769 3.769
3.769 0.000 3.769
3.769 3.769 0.000
Be Cd I
1 2 1
direct
0.000 0.000 0.000 Be
0.250 0.250 0.250 Cd
0.750 0.750 0.750 Cd
0.500 0.500 0.500 I


Which one is most stable, and which one is least stable? i is the most stable of them, while ii is the least stable.